[1]
# Nd3Cu4Si2Sn2

Crystalline Nd3Cu4Si2Sn2 at its relaxed geometry (GGA-PBE, the Open Quantum Materials Database).

abc: 4.4559 6.7276 14.6796
angles: 90.00 90.00 90.00
Space group Immm (No. 71)
Inequivalent atoms, fractional coordinates:
Nd (0.0000, 0.0000, 0.0000) x2
Nd (0.0000, 0.5000, 0.1272) x4
Cu (0.0000, 0.3133, 0.3474) x8
Si (0.0000, 0.1801, 0.5000) x4
Sn (0.0000, 0.0000, 0.2173) x4

[2]
# Nd2Cu2SiSn

Crystalline Nd2Cu2SiSn at its relaxed geometry (GGA-PBE, the Open Quantum Materials Database).

abc: 4.3805 4.3805 7.9285
angles: 90.00 90.00 120.00
Space group P-6m2 (No. 187)
Inequivalent atoms, fractional coordinates:
Nd (0.0000, 0.0000, 0.2384) x2
Cu (0.3333, 0.6667, 0.0000) x1
Cu (0.6667, 0.3333, 0.5000) x1
Si (0.6667, 0.3333, 0.0000) x1
Sn (0.3333, 0.6667, 0.5000) x1

[3]
# Tb2NdCu4Si4

Crystalline Tb2NdCu4Si4 at its relaxed geometry (GGA-PBE, the Open Quantum Materials Database).

abc: 4.1678 6.6425 13.8683
angles: 90.00 90.00 90.00
Space group Immm (No. 71)
Inequivalent atoms, fractional coordinates:
Tb (0.0000, 0.0000, 0.1302) x4
Nd (0.0000, 0.5000, 0.0000) x2
Cu (0.0000, 0.1900, 0.3314) x8
Si (0.0000, 0.3192, 0.5000) x4
Si (0.0000, 0.5000, 0.2179) x4

[4]
# TbNdCu2Si2

Crystalline TbNdCu2Si2 at its relaxed geometry (GGA-PBE, the Open Quantum Materials Database).

abc: 4.1688 4.1688 7.7571
angles: 90.00 90.00 120.00
Space group P-3m1 (No. 164)
Inequivalent atoms, fractional coordinates:
Tb (0.0000, 0.0000, 0.0000) x1
Nd (0.0000, 0.0000, 0.5000) x1
Cu (0.3333, 0.6667, 0.7617) x2
Si (0.3333, 0.6667, 0.2405) x2

[5]
# TbNd2Cu4Si4

Crystalline TbNd2Cu4Si4 at its relaxed geometry (GGA-PBE, the Open Quantum Materials Database).

abc: 4.1008 4.1029 23.9142
angles: 90.00 90.00 90.00
Space group Immm (No. 71)
Inequivalent atoms, fractional coordinates:
Tb (0.0000, 0.0000, 0.0000) x2
Nd (0.0000, 0.5000, 0.1492) x4
Cu (0.0000, 0.0000, 0.2499) x4
Cu (0.0000, 0.5000, 0.4047) x4
Si (0.0000, 0.0000, 0.4506) x4
Si (0.0000, 0.5000, 0.3053) x4

[6]
# NdCuSi2Tc

Crystalline NdCuSi2Tc at its relaxed geometry (GGA-PBE, the Open Quantum Materials Database).

abc: 4.0631 4.0631 10.3311
angles: 90.00 90.00 90.00
Space group I-4m2 (No. 119)
Inequivalent atoms, fractional coordinates:
Nd (0.0000, 0.0000, 0.0000) x2
Cu (0.0000, 0.5000, 0.7500) x2
Si (0.0000, 0.0000, 0.3780) x4
Tc (0.0000, 0.5000, 0.2500) x2

[7]
# NdTmCu2Si2

Crystalline NdTmCu2Si2 at its relaxed geometry (GGA-PBE, the Open Quantum Materials Database).

abc: 4.1526 4.1526 7.6249
angles: 90.00 90.00 120.00
Space group P-3m1 (No. 164)
Inequivalent atoms, fractional coordinates:
Nd (0.0000, 0.0000, 0.0000) x1
Tm (0.0000, 0.0000, 0.5000) x1
Cu (0.3333, 0.6667, 0.2692) x2
Si (0.3333, 0.6667, 0.7366) x2

[8]
# NdYCu2Si2

Crystalline NdYCu2Si2 at its relaxed geometry (GGA-PBE, the Open Quantum Materials Database).

abc: 4.1803 4.1803 7.7801
angles: 90.00 90.00 120.00
Space group P-3m1 (No. 164)
Inequivalent atoms, fractional coordinates:
Nd (0.0000, 0.0000, 0.0000) x1
Y (0.0000, 0.0000, 0.5000) x1
Cu (0.3333, 0.6667, 0.2609) x2
Si (0.3333, 0.6667, 0.7396) x2

[9]
# NdY2Cu4Si4

Crystalline NdY2Cu4Si4 at its relaxed geometry (GGA-PBE, the Open Quantum Materials Database).

abc: 4.1552 6.6493 13.8237
angles: 90.00 90.00 90.00
Space group Immm (No. 71)
Inequivalent atoms, fractional coordinates:
Nd (0.0000, 0.0000, 0.0000) x2
Y (0.0000, 0.5000, 0.1297) x4
Cu (0.0000, 0.3104, 0.3313) x8
Si (0.0000, 0.0000, 0.2184) x4
Si (0.0000, 0.1805, 0.5000) x4

[10]
# NdYCu2Si2

Crystalline NdYCu2Si2 at its relaxed geometry (GGA-PBE, the Open Quantum Materials Database).

abc: 4.1817 4.1817 7.7238
angles: 90.00 90.00 120.00
Space group P3m1 (No. 156)
Inequivalent atoms, fractional coordinates:
Nd (0.0000, 0.0000, 0.0000) x1
Y (0.0000, 0.0000, 0.4982) x1
Cu (0.3333, 0.6667, 0.2603) x1
Cu (0.6667, 0.3333, 0.7378) x1
Si (0.3333, 0.6667, 0.7391) x1
Si (0.6667, 0.3333, 0.2589) x1

[11]
# NdSmCu2

Crystalline NdSmCu2 at its relaxed geometry (GGA-PBE, the Open Quantum Materials Database).

abc: 4.5240 3.8433 10.5836
angles: 90.00 90.00 90.00
Space group Amm2 (No. 38)
Inequivalent atoms, fractional coordinates:
Nd (0.0000, 0.0000, 0.0000) x2
Sm (0.5000, 0.0000, 0.7179) x2
Cu (0.0000, 0.0000, 0.2894) x2
Cu (0.5000, 0.0000, 0.4254) x2

[12]
# NdSm2Cu4Sn4

Crystalline NdSm2Cu4Sn4 at its relaxed geometry (GGA-PBE, the Open Quantum Materials Database).

abc: 4.5453 7.0299 14.9748
angles: 90.00 90.00 90.00
Space group Immm (No. 71)
Inequivalent atoms, fractional coordinates:
Nd (0.0000, 0.0000, 0.0000) x2
Sm (0.0000, 0.5000, 0.1322) x4
Cu (0.0000, 0.3150, 0.3311) x8
Sn (0.0000, 0.0000, 0.2172) x4
Sn (0.0000, 0.1999, 0.5000) x4

[13]
# Nd2SmCu4Sn4

Crystalline Nd2SmCu4Sn4 at its relaxed geometry (GGA-PBE, the Open Quantum Materials Database).

abc: 4.5664 6.9895 15.0057
angles: 90.00 90.00 90.00
Space group Immm (No. 71)
Inequivalent atoms, fractional coordinates:
Nd (0.0000, 0.0000, 0.1323) x4
Sm (0.0000, 0.5000, 0.0000) x2
Cu (0.0000, 0.1845, 0.3313) x8
Sn (0.0000, 0.2975, 0.5000) x4
Sn (0.0000, 0.5000, 0.2162) x4

[14]
# NdSmCu2Sn2

Crystalline NdSmCu2Sn2 at its relaxed geometry (GGA-PBE, the Open Quantum Materials Database).

abc: 4.5957 4.5957 7.5386
angles: 90.00 90.00 120.00
Space group P3m1 (No. 156)
Inequivalent atoms, fractional coordinates:
Nd (0.0000, 0.0000, 0.0000) x1
Sm (0.0000, 0.0000, 0.5011) x1
Cu (0.3333, 0.6667, 0.3178) x1
Cu (0.6667, 0.3333, 0.7964) x1
Sn (0.3333, 0.6667, 0.7309) x1
Sn (0.6667, 0.3333, 0.2356) x1

[15]
# NdSmTlCu2

Crystalline NdSmTlCu2 at its relaxed geometry (GGA-PBE, the Open Quantum Materials Database).

abc: 3.7918 4.1696 14.5309
angles: 90.00 90.00 90.00
Space group Amm2 (No. 38)
Inequivalent atoms, fractional coordinates:
Nd (0.0000, 0.0000, 0.0000) x2
Sm (0.0000, 0.0000, 0.2666) x2
Tl (0.5000, 0.0000, 0.6342) x2
Cu (0.5000, 0.0000, 0.4287) x2
Cu (0.5000, 0.0000, 0.8349) x2

[16]
# NdCu9Sn4

Crystalline NdCu9Sn4 at its relaxed geometry (GGA-PBE, the Open Quantum Materials Database).

abc: 8.6202 8.6202 12.3761
angles: 90.00 90.00 90.00
Space group I4/mcm (No. 140)
Inequivalent atoms, fractional coordinates:
Nd (0.0000, 0.0000, 0.2500) x4
Cu (0.0000, 0.5000, 0.0000) x4
Cu (0.0547, 0.1993, 0.0000) x16
Cu (0.1084, 0.3916, 0.1732) x16
Sn (0.1858, 0.3142, 0.3722) x16

[17]
# NdY2Cu4Sn4

Crystalline NdY2Cu4Sn4 at its relaxed geometry (GGA-PBE, the Open Quantum Materials Database).

abc: 4.4852 7.0426 14.8173
angles: 90.00 90.00 90.00
Space group Immm (No. 71)
Inequivalent atoms, fractional coordinates:
Nd (0.0000, 0.0000, 0.0000) x2
Y (0.0000, 0.5000, 0.1311) x4
Cu (0.0000, 0.3141, 0.3306) x8
Sn (0.0000, 0.0000, 0.2186) x4
Sn (0.0000, 0.1988, 0.5000) x4

[18]
# TbNdCu4

Crystalline TbNdCu4 at its relaxed geometry (GGA-PBE, the Open Quantum Materials Database).

abc: 7.4683 7.4683 7.4683
angles: 90.00 90.00 90.00
Space group F-43m (No. 216)
Inequivalent atoms, fractional coordinates:
Tb (0.0000, 0.0000, 0.0000) x4
Nd (0.2500, 0.2500, 0.7500) x4
Cu (0.1261, 0.1261, 0.3739) x16

[19]
# TbNdCu

Crystalline TbNdCu at its relaxed geometry (GGA-PBE, the Open Quantum Materials Database).

abc: 6.9169 6.9169 6.9169
angles: 90.00 90.00 90.00
Space group F-43m (No. 216)
Inequivalent atoms, fractional coordinates:
Tb (0.0000, 0.0000, 0.0000) x4
Nd (0.0000, 0.0000, 0.5000) x4
Cu (0.2500, 0.2500, 0.7500) x4

Values from the calculation:
Relative energy among the computed polymorphs in meV per atom: 0.0

[20]
# TbNdTlCu2

Crystalline TbNdTlCu2 at its relaxed geometry (GGA-PBE, the Open Quantum Materials Database).

abc: 3.7618 4.1532 14.4460
angles: 90.00 90.00 90.00
Space group Amm2 (No. 38)
Inequivalent atoms, fractional coordinates:
Tb (0.0000, 0.0000, 0.0000) x2
Nd (0.0000, 0.0000, 0.7329) x2
Tl (0.5000, 0.0000, 0.3683) x2
Cu (0.5000, 0.0000, 0.1601) x2
Cu (0.5000, 0.0000, 0.5655) x2

Number 1: energy -4.95 eV/atom. Number 2: energy -4.96 eV/atom. Number 3: energy -5.22 eV/atom. Number 4: energy -5.26 eV/atom. Number 5: energy -5.23 eV/atom. Number 6: energy -6.48 eV/atom. Number 7: energy -5.24 eV/atom. Number 8: energy -5.57 eV/atom. Number 9: energy -5.56 eV/atom. Number 10: energy -5.57 eV/atom. Number 11: energy -4.42 eV/atom. Number 12: energy -4.63 eV/atom. Number 13: energy -4.64 eV/atom. Number 14: energy -4.75 eV/atom. Number 15: energy -4.14 eV/atom. Number 16: energy -4.03 eV/atom. Number 17: energy -4.94 eV/atom. Number 18: energy -4.14 eV/atom. Number 19: energy -4.27 eV/atom. Number 20: energy -4.13 eV/atom.